Entry from Alexandria: SmTm2ZrSc4 after structural relaxation (GGA-PBE).

The structure in POSCAR format:
```
SmTm2ZrSc4
1.0
5.409 0.000 0.000
0.000 5.409 0.000
0.000 0.000 7.260
Sm Tm Zr Sc
1 2 1 4
direct
0.000 0.000 0.000
0.000 0.000 0.500
0.500 0.500 0.000
0.500 0.500 0.500
0.000 0.500 0.269
0.000 0.500 0.731
0.500 0.000 0.269
0.500 0.000 0.731
```

## Properties
VASP energy: -5.84 eV per atom
DOS at the Fermi energy: 14.54 states/eV/f.u.
total magnetic moment: 0.000 μB per formula unit
ρ: 5936 kg/m3
space-group type: P4/mmm
calculated volume: 212.39 Å³ per cell


Entry from Alexandria: SmScV after structural relaxation (GGA-PBE).

The structure in POSCAR format:
```
SmScV
1.0
-1.628 1.628 13.466
1.628 -1.628 13.466
1.628 1.628 -13.466
Sm Sc V
2 2 2
direct
0.063 0.063 0.000
0.937 0.937 0.000
0.339 0.339 0.000
0.661 0.661 0.000
0.231 0.231 0.000
0.769 0.769 0.000
```

## Properties
VASP energy: -6.55 eV per atom
DOS at the Fermi energy: 3.37 states/eV/f.u.
total magnetic moment: 0.000 μB per formula unit
ρ: 5731 kg/m3
space-group type: I4/mmm
calculated volume: 142.71 Å³ per cell


Entry from Alexandria: SmY6Sc2 after structural relaxation (GGA-PBE).

The structure in POSCAR format:
```
SmY6Sc2
1.0
-2.780 4.810 10.301
2.780 -4.810 10.301
2.780 4.810 -10.301
Sm Y Sc
2 12 4
direct
0.250 0.250 0.000
0.750 0.750 0.000
0.004 0.339 0.669
0.081 0.081 0.000
0.171 0.839 0.335
0.329 0.665 0.669
0.419 0.419 0.000
0.496 0.165 0.335
0.504 0.835 0.665
0.581 0.581 0.000
0.671 0.335 0.331
0.829 0.161 0.665
0.919 0.919 0.000
0.996 0.661 0.331
0.167 0.498 0.665
0.333 0.998 0.331
0.667 0.002 0.669
0.833 0.502 0.335
```

## Properties
DOS at the Fermi energy: 17.73 states/eV/f.u.
distance to the lowest polymorph of the same formula: 0.79 kcal/mol of atoms
total magnetic moment: 0.000 μB per formula unit
ρ: 4663 kg/m3
space-group type: Ibam
calculated volume: 551.10 Å³ per cell


Entry from Alexandria: SmYSc2 after structural relaxation (GGA-PBE).

The structure in POSCAR format:
```
SmYSc2
1.0
4.942 0.000 0.000
0.000 4.942 0.000
0.000 0.000 4.668
Sm Y Sc
1 1 2
direct
0.000 0.000 0.000
0.500 0.500 0.000
0.000 0.500 0.500
0.500 0.000 0.500
```

## Properties
DOS at the Fermi energy: 7.14 states/eV/f.u.
distance to the lowest polymorph of the same formula: 0.07 kcal/mol of atoms
total magnetic moment: 0.000 μB per formula unit
ρ: 4794 kg/m3
space-group type: P4/mmm
calculated volume: 114.03 Å³ per cell


Entry from Alexandria: Sm3Y2Sc3 after structural relaxation (GGA-PBE).

The structure in POSCAR format:
```
Sm3Y2Sc3
1.0
-2.410 2.485 9.929
2.410 -2.485 9.929
2.410 2.485 -9.929
Sm Y Sc
3 2 3
direct
0.000 0.000 0.000
0.379 0.879 0.500
0.621 0.121 0.500
0.248 0.248 0.000
0.752 0.752 0.000
0.124 0.624 0.500
0.500 0.500 0.000
0.876 0.376 0.500
```

## Properties
VASP energy: -5.71 eV per atom
DOS at the Fermi energy: 12.61 states/eV/f.u.
total magnetic moment: 0.000 μB per formula unit
ρ: 5332 kg/m3
space-group type: Immm
calculated volume: 237.85 Å³ per cell


Entry from Alexandria: Sm7YSc2 after structural relaxation (GGA-PBE).

The structure in POSCAR format:
```
Sm7YSc2
1.0
4.463 -7.670 0.000
4.463 7.670 0.000
0.000 0.000 5.582
Sm Y Sc
7 1 2
direct
0.000 0.000 0.000
0.197 0.438 0.000
0.255 0.745 0.500
0.438 0.197 0.000
0.562 0.803 0.000
0.745 0.255 0.500
0.803 0.562 0.000
0.500 0.500 0.500
0.204 0.796 0.000
0.796 0.204 0.000
```

## Properties
DOS at the Fermi energy: 13.72 states/eV/f.u.
distance to the lowest polymorph of the same formula: 13.23 kcal/mol of atoms
total magnetic moment: 0.000 μB per formula unit
ρ: 5350 kg/m3
space-group type: Cmmm
calculated volume: 382.17 Å³ per cell


Entry from Alexandria: Sm4Y2Sc after structural relaxation (GGA-PBE).

The structure in POSCAR format:
```
Sm4Y2Sc
1.0
6.233 0.000 0.000
0.000 6.564 0.000
-3.008 0.000 10.966
Sm Y Sc
8 4 2
direct
0.059 0.250 0.373
0.146 0.250 0.948
0.355 0.512 0.216
0.355 0.988 0.216
0.645 0.012 0.784
0.645 0.488 0.784
0.854 0.750 0.052
0.941 0.750 0.627
0.287 0.750 0.916
0.374 0.750 0.508
0.626 0.250 0.492
0.713 0.250 0.084
0.151 0.250 0.667
0.849 0.750 0.333
```

## Properties
DOS at the Fermi energy: 11.25 states/eV/f.u.
distance to the lowest polymorph of the same formula: 0.00 kcal/mol of atoms
total magnetic moment: 0.000 μB per formula unit
ρ: 6102 kg/m3
space-group type: P2_1/m
calculated volume: 448.62 Å³ per cell


Entry from Alexandria: Sm6Y2Sc after structural relaxation (GGA-PBE).

The structure in POSCAR format:
```
Sm6Y2Sc
1.0
8.568 -1.753 0.000
8.568 1.753 0.000
-6.878 0.000 9.840
Sm Y Sc
6 2 1
direct
0.050 0.050 0.254
0.222 0.222 0.607
0.384 0.384 0.941
0.616 0.616 0.059
0.778 0.778 0.393
0.950 0.950 0.746
0.334 0.334 0.183
0.666 0.666 0.817
0.000 0.000 0.500
```

## Properties
DOS at the Fermi energy: 14.89 states/eV/f.u.
distance to the lowest polymorph of the same formula: 0.00 kcal/mol of atoms
total magnetic moment: 0.001 μB per formula unit
ρ: 6318 kg/m3
space-group type: C2/m
calculated volume: 295.64 Å³ per cell